Zn2CdAg: relaxed, PBE.

Cell: 3.1634 4.9883 6.0987 Å, 50.77 74.97 71.51°
Closest atoms and distances in Å follow each position.
Element x y z (fractional)
Zn1 0.9943 0.9967 0.0146  3 Ag 2.80-2.92, 4 Zn 2.80-3.00, 3 Cd 2.91
Zn2 0.5057 0.5033 0.4854  3 Ag 2.80-2.92, 4 Zn 2.80-3.00, 3 Cd 2.91
Cd1 0.7500 0.7500 0.7500  4 Ag 2.90, 6 Zn 2.91, 2 Cd 3.16
Ag1 0.2500 0.2500 0.2500  6 Zn 2.80-2.92, 4 Cd 2.90

The crystal system is monoclinic. The calculation puts the volume at 70.5 Å³/cell. As for the space-group type: C2/m, No. 12. The calculation puts the energy relative to the elements at 0.030 eV/atom.

---

ZnCdAg: relaxed, PBE.

Cell: 5.1482 5.1482 5.1482 Å, 144.87 135.91 57.58°
Closest atoms and distances in Å follow each position.
Element x y z (fractional)
Zn1 0.3399 0.3399 0.0000  5 Ag 2.83-3.14, 5 Cd 2.92-2.97, 2 Zn 3.11
Ag1 0.9916 0.9916 0.0000  5 Zn 2.83-3.14, 5 Cd 2.91-2.95, 2 Ag 3.11
Cd1 0.6686 0.6686 0.0000  5 Ag 2.91-2.95, 5 Zn 2.92-2.97, 2 Cd 3.11

The crystal system is orthorhombic. The calculation puts the volume at 54.2 Å³/cell. As for the space-group type: Imm2, No. 44. The value obtained for the relative energy among the computed polymorphs is 26 meV/atom. The calculation puts the energy relative to the elements at 0.013 eV/atom.

---

Zn5CdAg4: relaxed, PBE.

Cell: 3.1884 3.1884 16.3588 Å, 90.00 90.00 90.00°
Closest atoms and distances in Å follow each position.
Element x y z (fractional)
Zn1 0.5000 0.5000 0.1147  4 Ag 2.74, 4 Cd 2.93
Zn2 0.5000 0.5000 0.3076  8 Ag 2.75-2.76
Zn3 0.5000 0.5000 0.5000  8 Ag 2.75
Zn4 0.5000 0.5000 0.6924  8 Ag 2.75-2.76
Zn5 0.5000 0.5000 0.8853  4 Ag 2.74, 4 Cd 2.93
Cd1 0.0000 0.0000 0.0000  8 Zn 2.93, 4 Cd 3.19
Ag1 0.0000 0.0000 0.2100  8 Zn 2.74-2.76
Ag2 0.0000 0.0000 0.4034  8 Zn 2.75
Ag3 0.0000 0.0000 0.5966  8 Zn 2.75
Ag4 0.0000 0.0000 0.7900  8 Zn 2.74-2.76

The crystal system is tetragonal. The calculation puts the volume at 166.3 Å³/cell. As for the space-group type: P4/mmm, No. 123. The value obtained for the relative energy among the computed polymorphs is 0 meV/atom. The calculation puts the energy relative to the elements at -0.013 eV/atom.

---

ZnCd2Ag5: relaxed, PBE.

Cell: 4.3076 5.8008 11.6664 Å, 90.00 90.00 90.00°
Closest atoms and distances in Å follow each position.
Element x y z (fractional)
Zn1 0.0000 0.0000 0.5000  8 Ag 2.84-2.90, 4 Cd 3.10
Zn2 0.0000 0.5000 0.0000  8 Ag 2.84-2.90, 4 Cd 3.10
Cd1 0.5000 0.2807 0.3688  10 Ag 2.91-2.97, 2 Zn 3.10
Cd2 0.5000 0.7193 0.6312  10 Ag 2.91-2.97, 2 Zn 3.10
Cd3 0.5000 0.2193 0.8688  10 Ag 2.91-2.97, 2 Zn 3.10
Cd4 0.5000 0.7807 0.1312  10 Ag 2.91-2.97, 2 Zn 3.10
Ag1 0.5000 0.2808 0.1160  2 Zn 2.84, 4 Cd 2.91-2.95, 6 Ag 3.00-3.07
Ag2 0.5000 0.7192 0.8840  2 Zn 2.84, 4 Cd 2.91-2.95, 6 Ag 3.00-3.07
Ag3 0.5000 0.7808 0.3840  2 Zn 2.84, 4 Cd 2.91-2.95, 6 Ag 3.00-3.07
Ag4 0.5000 0.2192 0.6160  2 Zn 2.84, 4 Cd 2.91-2.95, 6 Ag 3.00-3.07
Ag5 0.0000 0.9708 0.7448  1 Zn 2.86, 7 Ag 2.90-3.07, 4 Cd 2.92-2.97
Ag6 0.0000 0.0292 0.2552  1 Zn 2.86, 7 Ag 2.90-3.07, 4 Cd 2.92-2.97
Ag7 0.0000 0.4708 0.7552  1 Zn 2.86, 7 Ag 2.90-3.07, 4 Cd 2.92-2.97
Ag8 0.0000 0.5292 0.2448  1 Zn 2.86, 7 Ag 2.90-3.07, 4 Cd 2.92-2.97
Ag9 0.0000 0.5000 0.5000  2 Zn 2.90, 4 Cd 2.93, 6 Ag 2.98-3.02
Ag10 0.0000 0.0000 0.0000  2 Zn 2.90, 4 Cd 2.93, 6 Ag 2.98-3.02

The crystal system is orthorhombic. The calculation puts the volume at 291.5 Å³/cell. As for the space-group type: Pbam, No. 55. The value obtained for the relative energy among the computed polymorphs is 0 meV/atom. The calculation puts the energy relative to the elements at -0.033 eV/atom.

---

Zn2CdAg2: relaxed, PBE.

Cell: 5.1454 5.5706 9.8539 Å, 130.42 87.72 118.29°
Closest atoms and distances in Å follow each position.
Element x y z (fractional)
Zn1 0.3116 0.8050 0.0475  3 Zn 2.80-2.96, 6 Ag 2.81-2.92, 3 Cd 2.89-3.08
Zn2 0.5011 0.8111 0.5468  6 Ag 2.78-3.12, 3 Zn 2.80-2.96, 3 Cd 2.91-2.95
Zn3 0.6884 0.1950 0.9525  3 Zn 2.80-2.96, 6 Ag 2.81-2.92, 3 Cd 2.89-3.08
Zn4 0.4989 0.1889 0.4532  6 Ag 2.78-3.12, 3 Zn 2.80-2.96, 3 Cd 2.91-2.95
Cd1 0.9228 0.0112 0.2566  6 Ag 2.88-2.92, 6 Zn 2.89-3.08
Cd2 0.0772 0.9888 0.7434  6 Ag 2.88-2.92, 6 Zn 2.89-3.08
Ag1 0.2837 0.4108 0.1485  6 Zn 2.80-2.92, 3 Cd 2.89-2.92, 3 Ag 2.92-2.97
Ag2 0.1396 0.4214 0.6577  6 Zn 2.78-3.12, 3 Cd 2.88-2.92, 3 Ag 2.92-2.97
Ag3 0.8604 0.5786 0.3423  6 Zn 2.78-3.12, 3 Cd 2.88-2.92, 3 Ag 2.92-2.97
Ag4 0.7163 0.5892 0.8515  6 Zn 2.80-2.92, 3 Cd 2.89-2.92, 3 Ag 2.92-2.97

The crystal system is triclinic. The calculation puts the volume at 173.6 Å³/cell. As for the space-group type: P-1, No. 2. The value obtained for the relative energy among the computed polymorphs is 0 meV/atom. The calculation puts the energy relative to the elements at -0.018 eV/atom.

---

Zn4CdAg3: relaxed, PBE.

Cell: 4.6017 6.3852 9.0878 Å, 90.00 90.00 90.00°
Closest atoms and distances in Å follow each position.
Element x y z (fractional)
Zn1 0.5000 0.7609 0.0000  6 Ag 2.76-2.83, 2 Cd 2.84, 3 Zn 3.00-3.05
Zn2 0.5000 0.7609 0.5000  6 Ag 2.76-2.83, 2 Cd 2.84, 3 Zn 3.00-3.05
Zn3 0.5000 0.2391 0.0000  6 Ag 2.76-2.83, 2 Cd 2.84, 3 Zn 3.00-3.05
Zn4 0.5000 0.2391 0.5000  6 Ag 2.76-2.83, 2 Cd 2.84, 3 Zn 3.00-3.05
Zn5 0.0734 0.7605 0.7500  6 Ag 2.75-2.88, 2 Cd 2.84, 3 Zn 3.00-3.06
Zn6 0.9266 0.7605 0.2500  6 Ag 2.75-2.88, 2 Cd 2.84, 3 Zn 3.00-3.06
Zn7 0.9266 0.2395 0.2500  6 Ag 2.75-2.88, 2 Cd 2.84, 3 Zn 3.00-3.06
Zn8 0.0734 0.2395 0.7500  6 Ag 2.75-2.88, 2 Cd 2.84, 3 Zn 3.00-3.06
Ag1 0.0000 0.0000 0.0000  8 Zn 2.76, 2 Ag 3.01
Ag2 0.0000 0.0000 0.5000  8 Zn 2.76, 2 Ag 3.01
Ag3 0.5696 0.0000 0.7500  8 Zn 2.75-2.78, 2 Ag 3.01
Ag4 0.4304 0.0000 0.2500  8 Zn 2.75-2.78, 2 Ag 3.01
Ag5 0.5627 0.5000 0.7500  8 Zn 2.80-2.88, 2 Cd 3.04
Ag6 0.4373 0.5000 0.2500  8 Zn 2.80-2.88, 2 Cd 3.04
Cd1 0.0000 0.5000 0.0000  8 Zn 2.84, 2 Ag 3.04
Cd2 0.0000 0.5000 0.5000  8 Zn 2.84, 2 Ag 3.04

The crystal system is orthorhombic. The calculation puts the volume at 267.0 Å³/cell. As for the space-group type: Pmma, No. 51. The value obtained for the relative energy among the computed polymorphs is 0 meV/atom. The calculation puts the energy relative to the elements at 0.001 eV/atom.

---

Zn2Cd4Ag3: relaxed, PBE.

Cell: 4.9123 8.9417 8.9417 Å, 65.49 79.82 79.82°
Closest atoms and distances in Å follow each position.
Element x y z (fractional)
Zn1 0.6244 0.8470 0.5723  1 Zn 2.66, 4 Ag 2.78-2.85, 3 Cd 2.86-2.97
Zn2 0.8756 0.4277 0.1530  1 Zn 2.66, 4 Ag 2.78-2.85, 3 Cd 2.86-2.97
Zn3 0.3756 0.1530 0.4277  1 Zn 2.66, 4 Ag 2.78-2.85, 3 Cd 2.86-2.97
Zn4 0.1244 0.5723 0.8470  1 Zn 2.66, 4 Ag 2.78-2.85, 3 Cd 2.86-2.97
Cd1 0.5037 0.0338 0.8157  4 Ag 2.85-3.09, 3 Cd 2.99-3.09, 1 Zn 3.18
Cd2 0.9963 0.1843 0.9662  4 Ag 2.85-3.09, 3 Cd 2.99-3.09, 1 Zn 3.18
Cd3 0.4963 0.9662 0.1843  4 Ag 2.85-3.09, 3 Cd 2.99-3.09, 1 Zn 3.18
Cd4 0.0037 0.8157 0.0338  4 Ag 2.85-3.09, 3 Cd 2.99-3.09, 1 Zn 3.18
Cd5 0.1805 0.7296 0.4794  3 Zn 2.86-2.97, 5 Ag 2.89-2.99, 2 Cd 2.99-3.07
Cd6 0.3195 0.5206 0.2704  3 Zn 2.86-2.97, 5 Ag 2.89-2.99, 2 Cd 2.99-3.07
Cd7 0.8195 0.2704 0.5206  3 Zn 2.86-2.97, 5 Ag 2.89-2.99, 2 Cd 2.99-3.07
Cd8 0.6805 0.4794 0.7296  3 Zn 2.86-2.97, 5 Ag 2.89-2.99, 2 Cd 2.99-3.07
Ag1 0.0734 0.9202 0.6833  4 Zn 2.78-2.85, 5 Cd 2.85-3.09
Ag2 0.4266 0.3167 0.0798  4 Zn 2.78-2.85, 5 Cd 2.85-3.09
Ag3 0.9266 0.0798 0.3167  4 Zn 2.78-2.85, 5 Cd 2.85-3.09
Ag4 0.5734 0.6833 0.9202  4 Zn 2.78-2.85, 5 Cd 2.85-3.09
Ag5 0.2500 0.3660 0.6340  8 Cd 2.89-2.94, 2 Zn 3.08
Ag6 0.7500 0.6340 0.3660  8 Cd 2.89-2.94, 2 Zn 3.08

The crystal system is monoclinic. The calculation puts the volume at 349.4 Å³/cell. As for the space-group type: C2/c, No. 15. The value obtained for the relative energy among the computed polymorphs is 4 meV/atom. The calculation puts the energy relative to the elements at 0.016 eV/atom.

---

Zn2Cd12Ag5: relaxed, PBE.

Cell: 5.2034 9.4411 9.4411 Å, 61.21 76.31 76.31°
Closest atoms and distances in Å follow each position.
Element x y z (fractional)
Zn1 0.0000 0.2537 0.7463  10 Cd 2.84-3.15
Zn2 0.0000 0.7463 0.2537  10 Cd 2.84-3.15
Cd1 0.0383 0.9023 0.9023  3 Ag 2.81-3.10, 2 Zn 2.89, 3 Cd 2.97-3.09
Cd2 0.2071 0.5434 0.0565  4 Ag 2.92-3.17, 7 Cd 2.97-3.21, 1 Zn 3.13
Cd3 0.2071 0.0565 0.5434  4 Ag 2.92-3.17, 7 Cd 2.97-3.21, 1 Zn 3.13
Cd4 0.6150 0.6424 0.1680  2 Zn 2.84-3.15, 3 Ag 2.93-3.03, 4 Cd 2.98-3.09
Cd5 0.6150 0.1680 0.6424  2 Zn 2.84-3.15, 3 Ag 2.93-3.03, 4 Cd 2.98-3.09
Cd6 0.2313 0.4141 0.4141  2 Zn 2.84, 5 Cd 3.01-3.15, 1 Ag 3.17
Cd7 0.7687 0.5859 0.5859  2 Zn 2.84, 5 Cd 3.01-3.15, 1 Ag 3.17
Cd8 0.3850 0.3576 0.8320  2 Zn 2.84-3.15, 3 Ag 2.93-3.03, 4 Cd 2.98-3.09
Cd9 0.3850 0.8320 0.3576  2 Zn 2.84-3.15, 3 Ag 2.93-3.03, 4 Cd 2.98-3.09
Cd10 0.7929 0.4566 0.9435  4 Ag 2.92-3.17, 7 Cd 2.97-3.21, 1 Zn 3.13
Cd11 0.7929 0.9435 0.4566  4 Ag 2.92-3.17, 7 Cd 2.97-3.21, 1 Zn 3.13
Cd12 0.9617 0.0977 0.0977  3 Ag 2.81-3.10, 2 Zn 2.89, 3 Cd 2.97-3.09
Ag1 0.4137 0.1950 0.1950  8 Cd 2.86-3.18, 3 Ag 2.98-3.10
Ag2 0.8403 0.2954 0.2954  9 Cd 2.93-3.23, 2 Ag 2.98-3.10
Ag3 0.5000 0.0000 0.0000  6 Cd 2.81-2.93, 2 Ag 3.08
Ag4 0.1597 0.7046 0.7046  9 Cd 2.93-3.23, 2 Ag 2.98-3.10
Ag5 0.5863 0.8050 0.8050  8 Cd 2.86-3.18, 3 Ag 2.98-3.10

The crystal system is monoclinic. The calculation puts the volume at 390.8 Å³/cell. As for the space-group type: C2/m, No. 12. The value obtained for the relative energy among the computed polymorphs is 0 meV/atom. The calculation puts the energy relative to the elements at 0.024 eV/atom.

---

ZnCd4Ag: relaxed, PBE.

Cell: 5.8730 5.8729 8.7290 Å, 102.88 102.89 113.71°
Closest atoms and distances in Å follow each position.
Element x y z (fractional)
Zn1 0.3751 0.6249 0.7500  8 Cd 2.85-3.01
Zn2 0.6249 0.3751 0.2500  8 Cd 2.85-3.01
Cd1 0.0445 0.7895 0.5640  2 Zn 2.85-2.95, 2 Ag 2.89-3.00, 5 Cd 2.98-3.15
Cd2 0.2105 0.9555 0.9360  2 Zn 2.85-2.95, 2 Ag 2.89-3.00, 5 Cd 2.98-3.15
Cd3 0.4608 0.7057 0.4350  2 Zn 2.85-3.01, 2 Ag 2.89-2.95, 4 Cd 2.96-3.15
Cd4 0.2943 0.5392 0.0650  2 Zn 2.85-3.01, 2 Ag 2.89-2.95, 4 Cd 2.96-3.15
Cd5 0.9555 0.2105 0.4360  2 Zn 2.85-2.95, 2 Ag 2.89-3.00, 5 Cd 2.98-3.15
Cd6 0.5392 0.2943 0.5650  2 Zn 2.85-3.01, 2 Ag 2.89-2.95, 4 Cd 2.96-3.15
Cd7 0.7895 0.0445 0.0640  2 Zn 2.85-2.95, 2 Ag 2.89-3.00, 5 Cd 2.98-3.15
Cd8 0.7057 0.4608 0.9350  2 Zn 2.85-3.01, 2 Ag 2.89-2.95, 4 Cd 2.96-3.15
Ag1 0.8752 0.1248 0.7500  8 Cd 2.89-3.00, 2 Zn 3.21
Ag2 0.1248 0.8752 0.2500  8 Cd 2.89-3.00, 2 Zn 3.21

The crystal system is monoclinic. The calculation puts the volume at 251.7 Å³/cell. As for the space-group type: C2/c, No. 15. The value obtained for the relative energy among the computed polymorphs is 0 meV/atom. The calculation puts the energy relative to the elements at 0.020 eV/atom.

---

Zn2Cd5Ag12: relaxed, PBE.

Cell: 5.7783 7.2797 9.6526 Å, 109.53 107.42 90.00°
Closest atoms and distances in Å follow each position.
Element x y z (fractional)
Zn1 0.7470 0.0000 0.0000  6 Ag 2.73-3.00, 2 Zn 2.85-2.92, 2 Cd 3.03
Zn2 0.2530 0.0000 0.0000  6 Ag 2.73-3.00, 2 Zn 2.85-2.92, 2 Cd 3.03
Cd1 0.7550 0.5184 0.5100  9 Ag 2.89-3.08, 3 Cd 2.90-3.04
Cd2 0.6535 0.0873 0.3071  9 Ag 2.82-2.96, 2 Zn 3.03, 1 Cd 3.04
Cd3 0.0000 0.5000 0.0000  4 Ag 2.77
Cd4 0.3465 0.9127 0.6929  9 Ag 2.82-2.96, 2 Zn 3.03, 1 Cd 3.04
Cd5 0.2450 0.4816 0.4900  9 Ag 2.89-3.08, 3 Cd 2.90-3.04
Ag1 0.8663 0.9486 0.7327  2 Zn 2.77, 3 Cd 2.91-3.08, 4 Ag 2.92-3.02
Ag2 0.4467 0.7922 0.3943  6 Ag 2.88-2.97, 4 Cd 2.93-3.06
Ag3 0.9476 0.7922 0.3943  6 Ag 2.88-2.97, 4 Cd 2.93-3.06
Ag4 0.3580 0.3771 0.2032  1 Zn 2.73, 4 Cd 2.77-3.00, 5 Ag 2.82-3.02
Ag5 0.8452 0.3771 0.2032  1 Zn 2.73, 4 Cd 2.77-3.00, 5 Ag 2.82-3.02
Ag6 0.5474 0.6981 0.0949  5 Ag 2.80-2.97, 1 Cd 2.82, 2 Zn 3.00
Ag7 0.4526 0.3019 0.9051  5 Ag 2.80-2.97, 1 Cd 2.82, 2 Zn 3.00
Ag8 0.6420 0.6229 0.7968  1 Zn 2.73, 4 Cd 2.77-3.00, 5 Ag 2.82-3.02
Ag9 0.1548 0.6229 0.7968  1 Zn 2.73, 4 Cd 2.77-3.00, 5 Ag 2.82-3.02
Ag10 0.5533 0.2078 0.6057  6 Ag 2.88-2.97, 4 Cd 2.93-3.06
Ag11 0.0524 0.2078 0.6057  6 Ag 2.88-2.97, 4 Cd 2.93-3.06
Ag12 0.1337 0.0514 0.2673  2 Zn 2.77, 3 Cd 2.91-3.08, 4 Ag 2.92-3.02

The crystal system is monoclinic. The calculation puts the volume at 362.8 Å³/cell. As for the space-group type: C2/m, No. 12. The value obtained for the relative energy among the computed polymorphs is 23 meV/atom. The calculation puts the energy relative to the elements at 0.025 eV/atom.

---

Zn3Cd2Ag8: relaxed, PBE.

Cell: 2.9230 9.6687 9.3923 Å, 117.48 90.00 90.00°
Closest atoms and distances in Å follow each position.
Element x y z (fractional)
Zn1 0.5000 0.0000 0.0000  6 Ag 2.69-2.91, 6 Zn 2.90-2.92
Zn2 0.0000 0.2199 0.9282  7 Ag 2.73-2.95, 4 Zn 2.90-2.92
Zn3 0.0000 0.7801 0.0718  7 Ag 2.73-2.95, 4 Zn 2.90-2.92
Cd1 0.5000 0.3667 0.5340  7 Ag 2.84-2.97, 3 Cd 2.92-2.93
Cd2 0.5000 0.6333 0.4660  7 Ag 2.84-2.97, 3 Cd 2.92-2.93
Ag1 0.0000 0.5521 0.1659  2 Zn 2.73-2.95, 7 Ag 2.80-3.03, 2 Cd 2.94
Ag2 0.0000 0.4479 0.8341  2 Zn 2.73-2.95, 7 Ag 2.80-3.03, 2 Cd 2.94
Ag3 0.0000 0.0915 0.2980  3 Zn 2.77-2.91, 6 Ag 2.92-2.99, 2 Cd 2.95
Ag4 0.0000 0.9085 0.7020  3 Zn 2.77-2.91, 6 Ag 2.92-2.99, 2 Cd 2.95
Ag5 0.5000 0.6925 0.7955  3 Zn 2.69-2.75, 2 Cd 2.88-2.97, 6 Ag 2.92-2.99
Ag6 0.5000 0.1412 0.6479  2 Zn 2.79, 1 Cd 2.84, 7 Ag 2.86-3.03
Ag7 0.5000 0.8588 0.3521  2 Zn 2.79, 1 Cd 2.84, 7 Ag 2.86-3.03
Ag8 0.5000 0.3075 0.2045  3 Zn 2.69-2.75, 2 Cd 2.88-2.97, 6 Ag 2.92-2.99

The crystal system is monoclinic. The calculation puts the volume at 235.5 Å³/cell. As for the space-group type: P2/m, No. 10. The value obtained for the relative energy among the computed polymorphs is 0 meV/atom. The calculation puts the energy relative to the elements at 0.019 eV/atom.

---

ZnCd3Ag7: relaxed, PBE.

Cell: 5.1276 7.2443 7.2443 Å, 84.84 114.02 114.02°
Closest atoms and distances in Å follow each position.
Element x y z (fractional)
Zn1 0.5000 0.5000 0.5000  4 Ag 2.56-2.64
Cd1 0.0000 0.7948 0.2052  9 Ag 2.88-3.10
Cd2 0.5000 0.0000 0.0000  6 Ag 2.78-2.84
Cd3 0.0000 0.2052 0.7948  9 Ag 2.88-3.10
Ag1 0.3916 0.2280 0.2280  1 Zn 2.64, 3 Cd 2.78-2.93, 3 Ag 2.80-2.86
Ag2 0.3283 0.0768 0.5846  5 Ag 2.80-3.07, 4 Cd 2.84-3.10, 1 Zn 2.91
Ag3 0.6717 0.4154 0.9232  5 Ag 2.80-3.07, 4 Cd 2.84-3.10, 1 Zn 2.91
Ag4 0.3283 0.5846 0.0768  5 Ag 2.80-3.07, 4 Cd 2.84-3.10, 1 Zn 2.91
Ag5 0.0000 0.5000 0.5000  2 Zn 2.56, 2 Ag 2.86
Ag6 0.6717 0.9232 0.4154  5 Ag 2.80-3.07, 4 Cd 2.84-3.10, 1 Zn 2.91
Ag7 0.6084 0.7720 0.7720  1 Zn 2.64, 3 Cd 2.78-2.93, 3 Ag 2.80-2.86

The crystal system is monoclinic. The calculation puts the volume at 223.6 Å³/cell. As for the space-group type: C2/m, No. 12. The value obtained for the relative energy among the computed polymorphs is 72 meV/atom. The calculation puts the energy relative to the elements at 0.094 eV/atom.